# GGA-PBE La2TbPr6Sm, optimized geometry
# uncorrected energy: -4.6796 eV/atom
# Fermi-level density of states: 16.11 states/eV/f.u.
# magnetization: 0.0 Bohr magnetons per cell
data_La2TbPr6Sm
_chemical_formula_sum 'La8 Tb4 Pr24 Sm4'
_cell_length_a 9.272
_cell_length_b 15.351
_cell_length_c 10.284
_cell_angle_alpha 90.00
_cell_angle_beta 100.92
_cell_angle_gamma 90.00
_space_group_name_H-M_alt 'C 1 2/c 1'
_space_group_IT_number 15
_space_group_name_Hall '-C 2yc'
loop_
_atom_site_label
_atom_site_type_symbol
_atom_site_fract_x
_atom_site_fract_y
_atom_site_fract_z
La1 La 0.236 0.048 0.041
Tb1 Tb 0.000 0.012 0.750
Pr1 Pr 0.069 0.189 0.444
Pr2 Pr 0.102 0.400 0.622
Pr3 Pr 0.199 0.219 0.811
Sm1 Sm 0.000 0.404 0.250